Record 1
The following is a DFT calculation (GGA-PBE) of Ba2CdAg after structural relaxation.

- N(E_F) (states/eV per atom) = 0.691
- total magnetic moment (μB per formula unit) = 0.000
- final energy (eV for the cell shown) = -8.23

Unit cell a=4.0975 b=4.0975 c=9.1757 alpha=90.00 beta=90.00 gamma=90.00
Last column: nearest neighbours and their distance in Å.
Element x y z (fractional)
1 Ba 0.0000 0.0000 0.0000  1 Cd 3.41, 4 Ag 3.55
2 Ba 0.5000 0.5000 0.4005  1 Ag 3.44, 4 Cd 3.57
3 Cd 0.0000 0.0000 0.6285  4 Ag 3.20, 5 Ba 3.41-3.57
4 Ag 0.5000 0.5000 0.7757  4 Cd 3.20, 5 Ba 3.44-3.55

Record 2
The following is a DFT calculation (GGA-PBE) of Ba2CdAg2 after structural relaxation.

- N(E_F) (states/eV per atom) = 0.490
- total magnetic moment (μB per formula unit) = 0.000
- ΔE to the lowest computed polymorph (meV per atom) = 188

Unit cell a=9.4197 b=9.4197 c=4.2250 alpha=90.00 beta=90.00 gamma=90.00
Last column: nearest neighbours and their distance in Å.
Element x y z (fractional)
1 Ba 0.1728 0.3272 0.0000  6 Ag 3.46-3.56, 2 Cd 3.49
2 Ba 0.3272 0.8272 0.0000  6 Ag 3.46-3.56, 2 Cd 3.49
3 Ba 0.6728 0.1728 0.0000  6 Ag 3.46-3.56, 2 Cd 3.49
4 Ba 0.8272 0.6728 0.0000  6 Ag 3.46-3.56, 2 Cd 3.49
5 Cd 0.0000 0.0000 0.0000  4 Ba 3.49
6 Cd 0.5000 0.5000 0.0000  4 Ba 3.49
7 Ag 0.1124 0.6124 0.5000  1 Ag 3.00
8 Ag 0.3876 0.1124 0.5000  1 Ag 3.00
9 Ag 0.6124 0.8876 0.5000  1 Ag 3.00
10 Ag 0.8876 0.3876 0.5000  1 Ag 3.00

Record 3
The following is a DFT calculation (GGA-PBE) of BaCdAg2 after structural relaxation.

- N(E_F) (states/eV per atom) = 0.691
- total magnetic moment (μB per formula unit) = 0.000
- final energy (eV for the cell shown) = -35.40

Unit cell a=5.3510 b=5.3510 c=19.3007 alpha=90.00 beta=90.00 gamma=90.00
Last column: nearest neighbours and their distance in Å.
Element x y z (fractional)
1 Ba 0.0000 0.0000 0.0000  4 Cd 3.78, 8 Ag 3.83-3.85
2 Ba 0.0000 0.5000 0.2500  4 Cd 3.78, 8 Ag 3.83-3.85
3 Ba 0.5000 0.0000 0.7500  4 Cd 3.78, 8 Ag 3.83-3.85
4 Ba 0.5000 0.5000 0.5000  4 Cd 3.78, 8 Ag 3.83-3.85
5 Cd 0.0000 0.0000 0.5000  4 Ag 2.76
6 Cd 0.0000 0.5000 0.7500  4 Ag 2.76
7 Cd 0.5000 0.0000 0.2500  4 Ag 2.76
8 Cd 0.5000 0.5000 0.0000  4 Ag 2.76
9 Ag 0.0024 0.2500 0.6250  2 Ag 2.68, 2 Cd 2.76
10 Ag 0.2500 0.5024 0.8750  2 Ag 2.68, 2 Cd 2.76
11 Ag 0.2500 0.9976 0.3750  2 Ag 2.68, 2 Cd 2.76
12 Ag 0.4976 0.2500 0.1250  2 Ag 2.68, 2 Cd 2.76
13 Ag 0.5024 0.7500 0.1250  2 Ag 2.68, 2 Cd 2.76
14 Ag 0.7500 0.0024 0.3750  2 Ag 2.68, 2 Cd 2.76
15 Ag 0.7500 0.4976 0.8750  2 Ag 2.68, 2 Cd 2.76
16 Ag 0.9976 0.7500 0.6250  2 Ag 2.68, 2 Cd 2.76

Record 4
The following is a DFT calculation (GGA-PBE) of BaCd2Ag after structural relaxation.

- N(E_F) (states/eV per atom) = 0.680
- total magnetic moment (μB per formula unit) = 0.000
- final energy (eV for the cell shown) = -27.89

Unit cell a=5.2616 b=5.2616 c=20.2627 alpha=90.00 beta=90.00 gamma=90.00
Last column: nearest neighbours and their distance in Å.
Element x y z (fractional)
1 Ba 0.0000 0.0000 0.0000  4 Cd 3.62, 4 Ag 3.72
2 Ba 0.0000 0.5000 0.2500  4 Cd 3.62, 4 Ag 3.72
3 Ba 0.5000 0.0000 0.7500  4 Cd 3.62, 4 Ag 3.72
4 Ba 0.5000 0.5000 0.5000  4 Cd 3.62, 4 Ag 3.72
5 Cd 0.0776 0.2500 0.6250  2 Cd 2.75, 2 Ag 2.88
6 Cd 0.2500 0.5776 0.8750  2 Cd 2.75, 2 Ag 2.88
7 Cd 0.2500 0.9224 0.3750  2 Cd 2.75, 2 Ag 2.88
8 Cd 0.4224 0.2500 0.1250  2 Cd 2.75, 2 Ag 2.88
9 Cd 0.5776 0.7500 0.1250  2 Cd 2.75, 2 Ag 2.88
10 Cd 0.7500 0.0776 0.3750  2 Cd 2.75, 2 Ag 2.88
11 Cd 0.7500 0.4224 0.8750  2 Cd 2.75, 2 Ag 2.88
12 Cd 0.9224 0.7500 0.6250  2 Cd 2.75, 2 Ag 2.88
13 Ag 0.0000 0.0000 0.5000  4 Cd 2.88
14 Ag 0.0000 0.5000 0.7500  4 Cd 2.88
15 Ag 0.5000 0.0000 0.2500  4 Cd 2.88
16 Ag 0.5000 0.5000 0.0000  4 Cd 2.88

Record 5
The following is a DFT calculation (GGA-PBE) of BaCd6Ag2 after structural relaxation.

- N(E_F) (states/eV per atom) = 0.416
- total magnetic moment (μB per formula unit) = 0.000
- ΔE to the lowest computed polymorph (meV per atom) = 0

Unit cell a=4.6312 b=4.6312 c=10.5100 alpha=90.00 beta=90.00 gamma=90.00
Last column: nearest neighbours and their distance in Å.
Element x y z (fractional)
1 Ba 0.0000 0.0000 0.0000  8 Ag 3.56, 8 Cd 3.87
2 Cd 0.0000 0.0000 0.5000  12 Cd 3.17-3.27
3 Cd 0.0000 0.5000 0.2945  2 Ag 2.87, 4 Cd 3.17
4 Cd 0.0000 0.5000 0.7055  2 Ag 2.87, 4 Cd 3.17
5 Cd 0.5000 0.0000 0.2945  2 Ag 2.87, 4 Cd 3.17
6 Cd 0.5000 0.0000 0.7055  2 Ag 2.87, 4 Cd 3.17
7 Cd 0.5000 0.5000 0.5000  12 Cd 3.17-3.27
8 Ag 0.5000 0.5000 0.1329  1 Ag 2.79, 4 Cd 2.87
9 Ag 0.5000 0.5000 0.8671  1 Ag 2.79, 4 Cd 2.87

Record 6
The following is a DFT calculation (GGA-PBE) of BaCdAg2 after structural relaxation.

- N(E_F) (states/eV per atom) = 0.374
- total magnetic moment (μB per formula unit) = 0.000
- final energy (eV for the cell shown) = -8.97

Unit cell a=3.7716 b=3.7716 c=7.5007 alpha=90.00 beta=90.00 gamma=90.00
Last column: nearest neighbours and their distance in Å.
Element x y z (fractional)
1 Ba 0.0000 0.0000 0.0000  5 Ag 3.48-3.59, 4 Cd 3.61, 4 Ba 3.77
2 Cd 0.5000 0.5000 0.3250  5 Ag 2.83-3.05
3 Ag 0.0000 0.0000 0.5216  4 Ag 2.99, 4 Cd 3.05
4 Ag 0.5000 0.5000 0.7018  1 Cd 2.83, 4 Ag 2.99

Record 7
The following is a DFT calculation (GGA-PBE) of BaCd4Ag4 after structural relaxation.

- N(E_F) (states/eV per atom) = 0.490
- total magnetic moment (μB per formula unit) = 0.000
- ΔE to the lowest computed polymorph (meV per atom) = 0

Unit cell a=6.6307 b=6.6307 c=9.9355 alpha=90.00 beta=90.00 gamma=90.00
Last column: nearest neighbours and their distance in Å.
Element x y z (fractional)
1 Ba 0.2500 0.7500 0.2500  4 Ag 3.53, 8 Cd 3.76
2 Ba 0.7500 0.2500 0.7500  4 Ag 3.53, 8 Cd 3.76
3 Cd 0.0204 0.2500 0.1600  5 Ag 2.86-2.91, 3 Cd 3.05-3.10
4 Cd 0.2500 0.0204 0.6600  5 Ag 2.86-2.91, 3 Cd 3.05-3.10
5 Cd 0.2500 0.4796 0.6600  5 Ag 2.86-2.91, 3 Cd 3.05-3.10
6 Cd 0.4796 0.2500 0.1600  5 Ag 2.86-2.91, 3 Cd 3.05-3.10
7 Cd 0.5204 0.7500 0.8400  5 Ag 2.86-2.91, 3 Cd 3.05-3.10
8 Cd 0.7500 0.5204 0.3400  5 Ag 2.86-2.91, 3 Cd 3.05-3.10
9 Cd 0.7500 0.9796 0.3400  5 Ag 2.86-2.91, 3 Cd 3.05-3.10
10 Cd 0.9796 0.7500 0.8400  5 Ag 2.86-2.91, 3 Cd 3.05-3.10
11 Ag 0.0404 0.2500 0.4526  1 Ag 2.78, 5 Cd 2.86-2.91
12 Ag 0.2500 0.0404 0.9526  1 Ag 2.78, 5 Cd 2.86-2.91
13 Ag 0.2500 0.4596 0.9526  1 Ag 2.78, 5 Cd 2.86-2.91
14 Ag 0.4596 0.2500 0.4526  1 Ag 2.78, 5 Cd 2.86-2.91
15 Ag 0.5404 0.7500 0.5474  1 Ag 2.78, 5 Cd 2.86-2.91
16 Ag 0.7500 0.5404 0.0474  1 Ag 2.78, 5 Cd 2.86-2.91
17 Ag 0.7500 0.9596 0.0474  1 Ag 2.78, 5 Cd 2.86-2.91
18 Ag 0.9596 0.7500 0.5474  1 Ag 2.78, 5 Cd 2.86-2.91

Record 8
The following is a DFT calculation (GGA-PBE) of Ba2CdAg after structural relaxation.

- N(E_F) (states/eV per atom) = 0.785
- total magnetic moment (μB per formula unit) = 0.000
- final energy (eV for the cell shown) = -8.72

Unit cell a=4.7491 b=5.1777 c=6.7800 alpha=90.00 beta=110.33 gamma=90.00
Last column: nearest neighbours and their distance in Å.
Element x y z (fractional)
1 Ba 0.0000 0.0000 0.0000  3 Ag 3.52-3.76, 4 Cd 3.63-3.64
2 Ba 0.2789 0.5000 0.5616  3 Cd 3.55-3.72, 4 Ag 3.64-3.65
3 Cd 0.5735 0.5000 0.1474  2 Ag 3.08
4 Ag 0.7028 0.0000 0.4085  2 Cd 3.08

Record 9
The following is a DFT calculation (GGA-PBE) of Ba2CdAg2 after structural relaxation.

- N(E_F) (states/eV per atom) = 0.452
- total magnetic moment (μB per formula unit) = 0.000
- ΔE to the lowest computed polymorph (meV per atom) = 127

Unit cell a=6.4932 b=6.4932 c=8.4574 alpha=90.00 beta=90.00 gamma=90.00
Last column: nearest neighbours and their distance in Å.
Element x y z (fractional)
1 Ba 0.0000 0.5000 0.2500  4 Ag 3.34
2 Ba 0.0000 0.5000 0.7500  4 Ag 3.34
3 Ba 0.5000 0.0000 0.2500  4 Ag 3.34
4 Ba 0.5000 0.0000 0.7500  4 Ag 3.34
5 Cd 0.0000 0.0000 0.0000  2 Ag 2.89
6 Cd 0.5000 0.5000 0.5000  2 Ag 2.89
7 Ag 0.0000 0.0000 0.3415  1 Ag 2.68, 1 Cd 2.89
8 Ag 0.0000 0.0000 0.6585  1 Ag 2.68, 1 Cd 2.89
9 Ag 0.5000 0.5000 0.1585  1 Ag 2.68, 1 Cd 2.89
10 Ag 0.5000 0.5000 0.8415  1 Ag 2.68, 1 Cd 2.89

Record 10
The following is a DFT calculation (GGA-PBE) of Ba5CdAg4 after structural relaxation.

- N(E_F) (states/eV per atom) = 0.888
- total magnetic moment (μB per formula unit) = 0.000
- final energy (eV for the cell shown) = -24.41

Unit cell a=4.1495 b=4.1495 c=20.7416 alpha=90.00 beta=90.00 gamma=90.00
Last column: nearest neighbours and their distance in Å.
Element x y z (fractional)
1 Ba 0.0000 0.0000 0.0000  8 Ag 3.57
2 Ba 0.0000 0.0000 0.1962  8 Ag 3.57-3.59
3 Ba 0.0000 0.0000 0.3936  4 Ag 3.57, 4 Cd 3.67
4 Ba 0.0000 0.0000 0.6064  4 Ag 3.57, 4 Cd 3.67
5 Ba 0.0000 0.0000 0.8038  8 Ag 3.57-3.59
6 Cd 0.5000 0.5000 0.5000  8 Ba 3.67
7 Ag 0.5000 0.5000 0.0980  8 Ba 3.57
8 Ag 0.5000 0.5000 0.2958  8 Ba 3.57-3.59
9 Ag 0.5000 0.5000 0.7042  8 Ba 3.57-3.59
10 Ag 0.5000 0.5000 0.9020  8 Ba 3.57

Record 11
The following is a DFT calculation (GGA-PBE) of BaCd2Ag after structural relaxation.

- N(E_F) (states/eV per atom) = 0.507
- total magnetic moment (μB per formula unit) = 0.000
- final energy (eV for the cell shown) = -15.17

Unit cell a=8.5819 b=4.9460 c=6.4540 alpha=90.00 beta=116.34 gamma=90.00
Last column: nearest neighbours and their distance in Å.
Element x y z (fractional)
1 Ba 0.0000 0.0000 0.0000  4 Ag 3.47-3.68, 7 Cd 3.50-3.77
2 Ba 0.5000 0.5000 0.0000  4 Ag 3.47-3.68, 7 Cd 3.50-3.77
3 Cd 0.2017 0.0000 0.6056  3 Cd 3.04-3.05, 3 Ag 3.09-3.10
4 Cd 0.4749 0.0000 0.4252  3 Ag 2.86, 3 Cd 3.04-3.05
5 Cd 0.7017 0.5000 0.6056  3 Cd 3.04-3.05, 3 Ag 3.09-3.10
6 Cd 0.9749 0.5000 0.4252  3 Ag 2.86, 3 Cd 3.04-3.05
7 Ag 0.3000 0.5000 0.4007  6 Cd 2.86-3.10
8 Ag 0.8000 0.0000 0.4007  6 Cd 2.86-3.10

V for every record listed, in sequence, given in Å³/cell: 154 375 553 561 225 107 437 156 357 357 246.